(1)
! Ba2HgBiSb | the Alexandria database | GGA-PBE | relaxed; values from VASP
! Total magnetization in μB/atom: 0.00
! Symmetry: P2_1/m (11)
! Uncorrected energy in eV/atom: -3.225
! V in Å³/cell: 398.4
! E_form (uncorrected) in eV per formula unit: -3.97
&SYSTEM
  ibrav = 0, nat = 10, ntyp = 4
/
ATOMIC_SPECIES
Ba 137.33 Ba.upf
Hg 200.59 Hg.upf
Bi 208.98 Bi.upf
Sb 121.76 Sb.upf
CELL_PARAMETERS angstrom
8.6080 0.0000 0.0000
0.0000 5.0531 0.0000
-0.0041 0.0000 9.1600
ATOMIC_POSITIONS angstrom
Ba 1.9467 1.2633 4.5024
Ba 1.9530 1.2633 0.0768
Ba 6.6510 3.7899 9.0832
Ba 6.6572 3.7899 4.6576
Hg 3.5953 3.7899 2.2951
Hg 5.0087 1.2633 6.8649
Bi 3.3991 3.7899 6.8663
Bi 5.2049 1.2633 2.2937
Sb 0.7239 3.7899 2.2885
Sb 7.8800 1.2633 6.8716

(2)
! NaMg2Ge | the Alexandria database | GGA-PBE | relaxed; values from VASP
! Energy of formation in kJ/mol of atoms: -1
! Total magnetization in μB/atom: 0.00
! Symmetry: P4/mmm (123)
! Uncorrected energy in eV/atom: -2.289
! V in Å³/cell: 85.8
&SYSTEM
  ibrav = 0, nat = 4, ntyp = 3
/
ATOMIC_SPECIES
Na 22.99 Na.upf
Mg 24.30 Mg.upf
Ge 72.64 Ge.upf
CELL_PARAMETERS angstrom
4.4840 0.0000 0.0000
0.0000 4.4840 0.0000
0.0000 0.0000 4.2684
ATOMIC_POSITIONS angstrom
Na 0.0000 0.0000 0.0000
Mg 0.0000 2.2420 2.1342
Mg 2.2420 0.0000 2.1342
Ge 2.2420 2.2420 0.0000

(3)
! AlTlAg2C | the Alexandria database | GGA-PBE | relaxed; values from VASP
! Energy of formation in kJ/mol of atoms: 196
! Total magnetization in μB/atom: 0.39
! Symmetry: P4/mmm (123)
! Uncorrected energy in eV/atom: -2.181
! V in Å³/cell: 150.0
&SYSTEM
  ibrav = 0, nat = 5, ntyp = 4
/
ATOMIC_SPECIES
Al 26.98 Al.upf
Tl 204.38 Tl.upf
Ag 107.87 Ag.upf
C 12.01 C.upf
CELL_PARAMETERS angstrom
5.3681 0.0000 0.0000
0.0000 5.3681 0.0000
0.0000 0.0000 5.2044
ATOMIC_POSITIONS angstrom
Al 0.0000 0.0000 0.0000
Tl 0.0000 0.0000 2.6022
Ag 0.0000 2.6840 2.6022
Ag 2.6840 0.0000 2.6022
C 2.6840 2.6840 0.0000

(4)
! MnSiTe2 | the Alexandria database | GGA-PBE | relaxed; values from VASP
! Total magnetization in μB/atom: 1.18
! Symmetry: P4mm (99)
! Uncorrected energy in eV/atom: -5.137
! V in Å³/cell: 97.0
! E_form (uncorrected) in eV per formula unit: 0.33
&SYSTEM
  ibrav = 0, nat = 4, ntyp = 3
/
ATOMIC_SPECIES
Mn 54.94 Mn.upf
Si 28.09 Si.upf
Te 127.60 Te.upf
CELL_PARAMETERS angstrom
4.1070 0.0000 0.0000
0.0000 4.1070 0.0000
0.0000 0.0000 5.7506
ATOMIC_POSITIONS angstrom
Mn 0.0000 0.0000 0.0000
Si 2.0535 2.0535 2.8821
Te 0.0000 0.0000 2.8749
Te 2.0535 2.0535 5.7503

(5)
! Ba3BeAs | the Alexandria database | GGA-PBE | relaxed; values from VASP
! Energy of formation in kJ/mol of atoms: 3
! Total magnetization in μB/atom: 0.13
! Symmetry: Pm-3m (221)
! Uncorrected energy in eV/atom: -2.794
! V in Å³/cell: 253.0
&SYSTEM
  ibrav = 0, nat = 5, ntyp = 3
/
ATOMIC_SPECIES
Ba 137.33 Ba.upf
Be 9.01 Be.upf
As 74.92 As.upf
CELL_PARAMETERS angstrom
6.3246 0.0000 0.0000
0.0000 6.3246 0.0000
0.0000 0.0000 6.3246
ATOMIC_POSITIONS angstrom
Ba 0.0000 0.0000 3.1623
Ba 0.0000 3.1623 0.0000
Ba 3.1623 0.0000 0.0000
Be 3.1623 3.1623 3.1623
As 0.0000 0.0000 0.0000

(6)
! MnCoAg | the Alexandria database | GGA-PBE | relaxed; values from VASP
! Energy of formation in kJ/mol of atoms: 73
! Total magnetization in μB/atom: 1.19
! Symmetry: F-43m (216)
! Uncorrected energy in eV/atom: -5.620
! V in Å³/cell: 49.3
&SYSTEM
  ibrav = 0, nat = 3, ntyp = 3
/
ATOMIC_SPECIES
Mn 54.94 Mn.upf
Co 58.93 Co.upf
Ag 107.87 Ag.upf
CELL_PARAMETERS angstrom
0.0000 2.9110 2.9110
2.9110 0.0000 2.9110
2.9110 2.9110 0.0000
ATOMIC_POSITIONS angstrom
Mn 0.0000 0.0000 0.0000
Co 1.4555 1.4555 1.4555
Ag 2.9110 2.9110 2.9110

(7)
! CaPa4 | the Alexandria database | GGA-PBE | relaxed; values from VASP
! Energy of formation in kJ/mol of atoms: 167
! Total magnetization in μB/atom: 0.00
! Symmetry: Pm-3m (221)
! Uncorrected energy in eV/atom: -6.266
! V in Å³/cell: 143.5
&SYSTEM
  ibrav = 0, nat = 5, ntyp = 2
/
ATOMIC_SPECIES
Ca 40.08 Ca.upf
Pa 231.04 Pa.upf
CELL_PARAMETERS angstrom
5.2354 0.0000 0.0000
0.0000 5.2354 0.0000
0.0000 0.0000 5.2354
ATOMIC_POSITIONS angstrom
Ca 0.0000 0.0000 0.0000
Pa 0.0000 0.0000 2.6177
Pa 0.0000 2.6177 0.0000
Pa 2.6177 0.0000 0.0000
Pa 2.6177 2.6177 2.6177

(8)
! Cd2TcNi | the Alexandria database | GGA-PBE | relaxed; values from VASP
! Energy of formation in kJ/mol of atoms: 24
! Total magnetization in μB/atom: 0.00
! Symmetry: R3m (160)
! Uncorrected energy in eV/atom: -4.250
! V in Å³/cell: 67.2
&SYSTEM
  ibrav = 0, nat = 4, ntyp = 3
/
ATOMIC_SPECIES
Cd 112.41 Cd.upf
Tc 98.00 Tc.upf
Ni 58.69 Ni.upf
CELL_PARAMETERS angstrom
1.4262 0.8234 9.5336
-1.4262 0.8234 9.5336
0.0000 -1.6469 9.5336
ATOMIC_POSITIONS angstrom
Cd 0.0000 0.0000 0.0000
Cd 0.0000 0.0000 6.6408
Tc 0.0000 0.0000 21.5439
Ni 0.0000 0.0000 13.9060